Entry 1:
Entry from the Open Quantum Materials Database: a relaxed TbHoI2O2 crystal (PBE).

The structure in POSCAR format:
```
TbHoI2O2
1.0
3.9220 0.0000 0.0000
0.0000 3.9220 0.0000
0.0000 0.0000 9.0946
O Ho Tb I
2 1 1 2
Direct
0.5000 0.0000 0.0014 O
0.0000 0.5000 0.0014 O
0.5000 0.5000 0.1201 Ho
0.0000 0.0000 0.8782 Tb
0.0000 0.0000 0.3277 I
0.5000 0.5000 0.6711 I
```

---

Entry 2:
Entry from the Open Quantum Materials Database: a relaxed YHoI2O2 crystal (PBE).

The structure in POSCAR format:
```
YHoI2O2
1.0
-2.3924 -2.8465 -1.2302
2.6075 -1.0056 -2.7440
3.8958 -5.7914 5.8244
Ho Y I O
1 1 2 2
Direct
0.0000 0.0000 0.1201 Ho
0.5000 0.5000 0.8787 Y
0.0000 0.0000 0.6713 I
0.5000 0.5000 0.3278 I
0.5000 0.0000 0.0010 O
0.0000 0.5000 0.0010 O
```

---

Entry 3:
Entry from the Open Quantum Materials Database: a relaxed HoZrI2O2 crystal (PBE).

The structure in POSCAR format:
```
HoZrI2O2
1.0
9.8589 -1.9725 0.0000
9.8589 1.9725 0.0000
-0.5945 0.0000 7.6250
I O Ho Zr
4 4 2 2
Direct
0.8985 0.8985 0.1711 I
0.5797 0.5797 0.3550 I
0.1015 0.1015 0.8289 I
0.4203 0.4203 0.6450 I
0.2447 0.2447 0.1285 O
0.7524 0.7524 0.3588 O
0.7553 0.7553 0.8715 O
0.2476 0.2476 0.6412 O
0.3085 0.3085 0.8992 Ho
0.6915 0.6915 0.1008 Ho
0.7038 0.7038 0.6049 Zr
0.2962 0.2962 0.3951 Zr
```

---

Entry 4:
Entry from the Open Quantum Materials Database: a relaxed YHoPI2 crystal (PBE).

The structure in POSCAR format:
```
YHoPI2
1.0
-2.6273 -2.3664 2.0646
4.0027 -0.8611 0.0464
1.2391 6.2292 8.7168
I Ho Y P
2 1 1 1
Direct
0.3333 0.6667 0.6722 I
0.0000 0.0000 0.3262 I
0.3333 0.6667 0.1371 Ho
0.0000 0.0000 0.8630 Y
0.6667 0.3333 0.0016 P
```

---

Entry 5:
Entry from the Open Quantum Materials Database: a relaxed HoPb3I crystal (PBE).

The structure in POSCAR format:
```
HoPb3I
1.0
-4.1975 1.5899 -3.7616
-1.4390 -5.6241 -0.7713
-3.8218 0.3715 4.4218
Pb Ho I
3 1 1
Direct
0.5000 0.0000 0.5000 Pb
0.5000 0.5000 0.0000 Pb
0.0000 0.5000 0.5000 Pb
0.0000 0.0000 0.0000 Ho
0.5000 0.5000 0.5000 I
```

---

Entry 6:
Entry from the Open Quantum Materials Database: a relaxed Rb3HoI6 crystal (PBE).

The structure in POSCAR format:
```
Rb3HoI6
1.0
8.6837 0.0000 0.0000
0.0000 9.2879 0.0000
-8.4488 0.0000 12.4350
I Rb Ho
12 6 2
Direct
0.7672 0.2255 0.4272 I
0.6605 0.6740 0.4428 I
0.2328 0.7255 0.0728 I
0.6605 0.8260 0.9428 I
0.9062 0.5480 0.2752 I
0.0938 0.4520 0.7248 I
0.7672 0.2745 0.9272 I
0.9062 0.9520 0.7752 I
0.3395 0.1740 0.0572 I
0.3395 0.3260 0.5572 I
0.2328 0.7745 0.5728 I
0.0938 0.0480 0.2248 I
0.2892 0.4154 0.2547 Rb
0.2892 0.0846 0.7547 Rb
0.7108 0.9154 0.2453 Rb
0.5000 0.0000 0.5000 Rb
0.5000 0.5000 0.0000 Rb
0.7108 0.5846 0.7453 Rb
0.0000 0.0000 0.0000 Ho
0.0000 0.5000 0.5000 Ho
```

---

Entry 7:
Entry from the Open Quantum Materials Database: a relaxed Rb2HoTlI6 crystal (PBE).

The structure in POSCAR format:
```
Rb2HoTlI6
1.0
4.0705 -5.7587 5.4424
-3.9824 3.3633 7.2235
-4.6910 -2.7646 -7.0499
Rb Ho I Tl
2 1 6 1
Direct
0.7500 0.2500 0.5000 Rb
0.2500 0.7500 0.5000 Rb
0.5000 0.5000 0.0000 Ho
0.3484 0.8132 0.1616 I
0.7352 0.7352 0.0000 I
0.2648 0.2648 0.0000 I
0.8132 0.6516 0.4648 I
0.1868 0.3484 0.5352 I
0.6516 0.1868 0.8384 I
0.0000 0.0000 0.0000 Tl
```

---

Entry 8:
Entry from the Open Quantum Materials Database: a relaxed HoS2I2 crystal (PBE).

The structure in POSCAR format:
```
HoS2I2
1.0
2.3306 3.5565 -6.6243
-5.9558 -5.1392 -0.2804
-3.8622 6.2813 3.5652
I S Ho
4 4 2
Direct
0.9796 0.4250 0.7464 I
0.0204 0.5750 0.2536 I
0.4250 0.9796 0.7464 I
0.5750 0.0204 0.2536 I
0.2258 0.2258 0.0531 S
0.9100 0.9100 0.7798 S
0.7742 0.7742 0.9469 S
0.0900 0.0900 0.2202 S
0.1657 0.8343 0.0000 Ho
0.8343 0.1657 0.0000 Ho
```

---

Number 1: E -6.42 eV per atom. Number 2: E -6.71 eV per atom. Number 3: E -6.65 eV per atom. Number 4: E -5.43 eV per atom. Number 5: E -2.79 eV per atom. Number 6: E -3.15 eV per atom. Number 7: E -3.10 eV per atom. Number 8: E -4.24 eV per atom.